A plane-wave DFT calculation with PBEsol was carried out for an optimized crystal structure of Li2MnSiO4.

- Symmetry: P3_121
- Total moment: 5.000 μB per formula unit
- Final energy: -57.9 eV/f.u.
- Polymorph energy (0 for the lowest one): 64 meV per atom
- Uncorrected formation energy: -2177 meV/atom

a b c (Å): 4.9705 4.9705 11.6323
angles (deg): 90.00 90.00 120.00
With the nearest neighbours (Å) after each atom.
Atoms (fractional coordinates):
1 Li 0.1170 0.6751 0.4136  4 O 1.91-2.03
2 Li 0.3249 0.4419 0.7470  4 O 1.91-2.03
3 Li 0.4419 0.3249 0.2530  4 O 1.91-2.03
4 Li 0.5581 0.8830 0.0803  4 O 1.91-2.03
5 Li 0.6751 0.1170 0.5864  4 O 1.91-2.03
6 Li 0.8830 0.5581 0.9197  4 O 1.91-2.03
7 Mn 0.0000 0.5424 0.1667  4 O 2.05-2.09
8 Mn 0.4576 0.4576 0.5000  4 O 2.05-2.09
9 Mn 0.5424 0.0000 0.8333  4 O 2.05-2.09
10 Si 0.0000 0.8028 0.6667  4 O 1.65
11 Si 0.1972 0.1972 0.0000  4 O 1.65
12 Si 0.8028 0.0000 0.3333  4 O 1.65
13 O 0.1002 0.6634 0.7767  1 Si 1.65
14 O 0.1458 0.2970 0.3667  1 Si 1.65
15 O 0.1512 0.8542 0.0334  1 Si 1.65
16 O 0.2970 0.1458 0.6333  1 Si 1.65
17 O 0.3366 0.4368 0.1100  1 Si 1.65
18 O 0.4368 0.3366 0.8900  1 Si 1.65
19 O 0.5632 0.8998 0.4433  1 Si 1.65
20 O 0.6634 0.1002 0.2233  1 Si 1.65
21 O 0.7030 0.8488 0.7001  1 Si 1.65
22 O 0.8488 0.7030 0.2999  1 Si 1.65
23 O 0.8542 0.1512 0.9666  1 Si 1.65
24 O 0.8998 0.5632 0.5567  1 Si 1.65